Record 1
# TaTeSe2

Crystalline TaTeSe2 at its relaxed geometry (PBE, Alexandria via LeMat-Bulk).

- Crystal system: trigonal
- Energy relative to the elements, uncorrected: 0.537 eV/atom

Lattice parameters (Å, degrees): 9.7534 9.7534 9.7534 19.98 19.98 19.98
Atoms (fractional coordinates):
Ta1 0.0000 0.0000 0.0000
Te1 0.5000 0.5000 0.5000
Se1 0.0849 0.0849 0.0849
Se2 0.9151 0.9151 0.9151



Record 2
# K2ZnCdAu

Crystalline K2ZnCdAu at its relaxed geometry (PBE, Alexandria via LeMat-Bulk).

- Energy relative to the elements: -0.026 eV/atom
- Crystal system: tetragonal

Lattice parameters (Å, degrees): 6.2787 6.2787 5.0472 90.00 90.00 90.00
Atoms (fractional coordinates):
K1 0.0000 0.5000 0.0000
K2 0.5000 0.0000 0.0000
Zn1 0.0000 0.0000 0.5000
Cd1 0.5000 0.5000 0.5000
Au1 0.0000 0.0000 0.0000



| no. | theoretical density (Mg/m³) | DFT total energy (eV per cell) |
| --- | --- | --- |
| 1 | 8.17 | -19.8 |
| 2 | 3.78 | -7.8 |